Rh3WO: relaxed, PBE+U.

Its total energy is -6.4642 eV/atom. The size of the total moment comes out at 2.441 μB/cell. The value obtained for the mass density is 11.8 g cm⁻³.

The structure belongs to space group Pm-3m (No. 221); the cell edges are 4.1571, 4.1571 and 4.1571 Å and the angles 90.00°, 90.00° and 90.00°. The asymmetric unit holds Rh at (0.0000, 0.0000, 0.5000), W at (0.5000, 0.5000, 0.5000) and O at (0.0000, 0.0000, 0.0000).